Run w
A plane-wave DFT calculation with GGA-PBE was carried out for crystalline NaSr2Pd2 at its relaxed geometry.

Space group: C2/c, No. 15

a b c (Å): 5.987 6.279 8.632
angles (deg): 103.34 90.00 118.47
Atoms (fractional coordinates):
Na1 0.861 0.000 0.250
Na2 0.139 0.000 0.750
Pd1 0.291 0.282 0.504
Pd2 0.992 0.282 0.004
Pd3 0.709 0.718 0.496
Pd4 0.008 0.718 0.996
Sr1 0.802 0.297 0.650
Sr2 0.198 0.703 0.350
Sr3 0.505 0.703 0.850
Sr4 0.495 0.297 0.150

Run x
A plane-wave DFT calculation with GGA-PBE was carried out for crystalline NaSr2Pd2 at its relaxed geometry.

Space group: P4/mbm, No. 127

a b c (Å): 8.769 8.769 3.676
angles (deg): 90.00 90.00 90.00
Atoms (fractional coordinates):
Na1 0.500 0.500 0.000
Na2 0.000 0.000 0.000
Sr1 0.854 0.646 0.000
Sr2 0.354 0.854 0.000
Sr3 0.146 0.354 0.000
Sr4 0.646 0.146 0.000
Pd1 0.650 0.850 0.500
Pd2 0.850 0.350 0.500
Pd3 0.150 0.650 0.500
Pd4 0.350 0.150 0.500

Name the most stable of them. run w.

Run w
A plane-wave DFT calculation with GGA-PBE was carried out for crystalline Na2Sr8Pd at its relaxed geometry.

Space group: C2/m, No. 12

a b c (Å): 6.414 7.949 11.063
angles (deg): 109.41 106.85 90.00
Atoms (fractional coordinates):
Pd1 0.500 0.000 0.000
Sr1 0.014 0.785 0.029
Sr2 0.413 0.599 0.826
Sr3 0.795 0.711 0.590
Sr4 0.366 0.050 0.732
Sr5 0.205 0.289 0.410
Sr6 0.587 0.401 0.174
Sr7 0.986 0.215 0.971
Sr8 0.634 0.950 0.268
Na1 0.182 0.729 0.364
Na2 0.818 0.271 0.636

Run x
A plane-wave DFT calculation with GGA-PBE was carried out for crystalline Na2Sr8Pd at its relaxed geometry.

Space group: C2/m, No. 12

a b c (Å): 4.409 8.777 13.983
angles (deg): 98.26 99.07 90.00
Atoms (fractional coordinates):
Sr1 0.392 0.951 0.783
Sr2 0.001 0.242 0.003
Sr3 0.387 0.442 0.774
Sr4 0.613 0.558 0.226
Sr5 0.789 0.666 0.577
Sr6 0.608 0.049 0.217
Sr7 0.999 0.758 0.997
Sr8 0.211 0.334 0.423
Na1 0.796 0.134 0.593
Na2 0.204 0.866 0.407
Pd1 0.500 0.000 0.000

Name the most stable of them. run x.

Run w
A plane-wave DFT calculation with GGA-PBE was carried out for crystalline Na2Sr6Pd at its relaxed geometry.

Space group: P2_1/c, No. 14

a b c (Å): 8.369 8.369 12.173
angles (deg): 90.00 90.00 90.00
Atoms (fractional coordinates):
Na1 0.499 0.002 0.250
Na2 0.001 0.502 0.250
Na3 0.999 0.498 0.750
Na4 0.501 0.998 0.750
Sr1 0.222 0.279 0.499
Sr2 0.722 0.221 0.999
Sr3 0.503 0.500 0.247
Sr4 0.003 0.000 0.747
Sr5 0.778 0.721 0.501
Sr6 0.721 0.221 0.501
Sr7 0.278 0.779 0.001
Sr8 0.779 0.721 0.999
Sr9 0.221 0.279 0.001
Sr10 0.497 0.500 0.753
Sr11 0.997 0.000 0.253
Sr12 0.279 0.779 0.499
Pd1 0.500 0.500 0.000
Pd2 0.000 0.000 0.500

Run x
A plane-wave DFT calculation with GGA-PBE was carried out for crystalline Na2Sr6Pd at its relaxed geometry.

Space group: C2/m, No. 12

a b c (Å): 8.466 8.466 8.467
angles (deg): 59.99 59.99 60.01
Atoms (fractional coordinates):
Sr1 0.251 0.251 0.749
Sr2 0.250 0.749 0.750
Sr3 0.749 0.250 0.750
Sr4 0.251 0.750 0.250
Sr5 0.749 0.749 0.251
Sr6 0.750 0.251 0.250
Na1 0.250 0.250 0.250
Na2 0.750 0.750 0.750
Pd1 0.500 0.500 0.500

Name the most stable of them. run x.

Run w
A plane-wave DFT calculation with GGA-PBE was carried out for crystalline NaSr6Pd at its relaxed geometry.

Space group: C2/c, No. 15

a b c (Å): 7.378 8.207 14.583
angles (deg): 100.67 90.00 116.71
Atoms (fractional coordinates):
Sr1 0.561 0.283 0.533
Sr2 0.722 0.283 0.033
Sr3 0.845 0.853 0.109
Sr4 0.302 0.431 0.178
Sr5 0.155 0.147 0.891
Sr6 0.009 0.853 0.609
Sr7 0.698 0.569 0.822
Sr8 0.871 0.569 0.322
Sr9 0.991 0.147 0.391
Sr10 0.129 0.431 0.678
Sr11 0.278 0.717 0.967
Sr12 0.439 0.717 0.467
Pd1 0.000 0.500 0.500
Pd2 0.500 0.500 0.000
Na1 0.582 0.000 0.750
Na2 0.418 0.000 0.250

Run x
A plane-wave DFT calculation with GGA-PBE was carried out for crystalline NaSr6Pd at its relaxed geometry.

Space group: C2/m, No. 12

a b c (Å): 7.455 9.574 7.547
angles (deg): 50.63 80.24 74.50
Atoms (fractional coordinates):
Na1 0.000 0.000 0.000
Sr1 0.781 0.582 0.634
Sr2 0.402 0.219 0.000
Sr3 0.219 0.418 0.366
Sr4 0.219 0.784 0.634
Sr5 0.781 0.216 0.366
Sr6 0.598 0.781 0.000
Pd1 0.500 0.500 0.000

Name the most stable of them. run w.

Run w
A plane-wave DFT calculation with GGA-PBE was carried out for crystalline NaSr4Pd at its relaxed geometry.

Space group: C2/c, No. 15

a b c (Å): 7.539 9.379 9.869
angles (deg): 112.85 105.90 103.14
Atoms (fractional coordinates):
Pd1 0.176 0.926 0.853
Pd2 0.824 0.074 0.147
Sr1 0.939 0.144 0.897
Sr2 0.197 0.356 0.412
Sr3 0.542 0.248 0.103
Sr4 0.715 0.056 0.412
Sr5 0.285 0.944 0.588
Sr6 0.458 0.752 0.897
Sr7 0.803 0.644 0.588
Sr8 0.061 0.856 0.103
Na1 0.356 0.606 0.212
Na2 0.644 0.394 0.788

Run x
A plane-wave DFT calculation with GGA-PBE was carried out for crystalline NaSr4Pd at its relaxed geometry.

Space group: Cmc2_1, No. 36

a b c (Å): 6.249 8.276 11.222
angles (deg): 90.00 106.17 90.00
Atoms (fractional coordinates):
Pd1 0.597 0.768 0.194
Pd2 0.403 0.268 0.806
Sr1 0.291 0.061 0.582
Sr2 0.326 0.562 0.652
Sr3 0.481 0.969 0.962
Sr4 0.709 0.561 0.418
Sr5 0.674 0.062 0.348
Sr6 0.519 0.469 0.038
Sr7 0.101 0.779 0.202
Sr8 0.899 0.279 0.798
Na1 0.118 0.295 0.236
Na2 0.882 0.795 0.764

Name the most stable of them. run x.

Run w
A plane-wave DFT calculation with GGA-PBE was carried out for crystalline Na2Sr4Pd at its relaxed geometry.

Space group: I4/mmm, No. 139

a b c (Å): 5.913 5.913 10.380
angles (deg): 73.45 73.45 90.00
Atoms (fractional coordinates):
Na1 0.364 0.364 0.272
Na2 0.636 0.636 0.728
Pd1 0.000 0.000 0.000
Sr1 0.837 0.837 0.326
Sr2 0.163 0.163 0.674
Sr3 0.500 0.000 0.000
Sr4 0.000 0.500 0.000

Run x
A plane-wave DFT calculation with GGA-PBE was carried out for crystalline Na2Sr4Pd at its relaxed geometry.

Space group: C2/m, No. 12

a b c (Å): 4.481 7.148 10.152
angles (deg): 101.56 102.75 90.00
Atoms (fractional coordinates):
Sr1 0.880 0.201 0.761
Sr2 0.565 0.266 0.129
Sr3 0.120 0.799 0.239
Sr4 0.435 0.734 0.871
Pd1 0.000 0.000 0.000
Na1 0.769 0.689 0.537
Na2 0.231 0.311 0.463

Name the most stable of them. run x.

Run w
A plane-wave DFT calculation with GGA-PBE was carried out for crystalline NaSr2TlPd at its relaxed geometry.

Space group: P4/mmm, No. 123

a b c (Å): 5.939 5.939 5.356
angles (deg): 90.00 90.00 90.00
Atoms (fractional coordinates):
Sr1 0.000 0.500 0.000
Sr2 0.500 0.000 0.000
Tl1 0.000 0.000 0.500
Na1 0.500 0.500 0.500
Pd1 0.000 0.000 0.000

Run x
A plane-wave DFT calculation with GGA-PBE was carried out for crystalline NaSr2TlPd at its relaxed geometry.

Space group: P4/mmm, No. 123

a b c (Å): 5.864 5.864 5.449
angles (deg): 90.00 90.00 90.00
Atoms (fractional coordinates):
Sr1 0.500 0.000 0.000
Sr2 0.000 0.500 0.000
Na1 0.000 0.000 0.500
Tl1 0.500 0.500 0.500
Pd1 0.000 0.000 0.000

Name the most stable of them. run w.

Run w
A plane-wave DFT calculation with GGA-PBE was carried out for crystalline NaTa3Pd at its relaxed geometry.

Space group: Pm-3m, No. 221

a b c (Å): 4.926 4.926 4.926
angles (deg): 90.00 90.00 90.00
Atoms (fractional coordinates):
Pd1 0.000 0.000 0.000
Ta1 0.000 0.000 0.500
Ta2 0.000 0.500 0.000
Ta3 0.500 0.000 0.000
Na1 0.500 0.500 0.500

Run x
A plane-wave DFT calculation with GGA-PBE was carried out for crystalline NaTa3Pd at its relaxed geometry.

Space group: Pm-3m, No. 221

a b c (Å): 4.620 4.620 4.620
angles (deg): 90.00 90.00 90.00
Atoms (fractional coordinates):
Ta1 0.000 0.000 0.500
Ta2 0.500 0.000 0.000
Ta3 0.000 0.500 0.000
Na1 0.000 0.000 0.000
Pd1 0.500 0.500 0.500

Name the most stable of them. run w.